Entry 1:
The following is a DFT calculation (PBE-GGA) of crystalline La2YZn6 at its relaxed geometry. Values from VASP.

Properties
* energy: -3.02 eV/atom
* energy of formation: -34.6 kJ/mol of atoms
* total magnetic moment: 0.0 μB/cell

Cell and atoms, written as Quantum ESPRESSO input:
```
&SYSTEM
  ibrav = 0, nat = 9, ntyp = 3
/
ATOMIC_SPECIES
Y 88.91 Y.upf
Zn 65.41 Zn.upf
La 138.91 La.upf
CELL_PARAMETERS angstrom
-1.613 -2.756 -1.741
7.096 -3.362 -1.251
-4.121 -1.741 6.573
ATOMIC_POSITIONS angstrom
Y -4.121 -1.741 6.573
Zn 0.166 -3.047 0.870
Zn -3.580 -2.550 3.553
Zn 1.196 -4.813 2.711
Zn -0.151 -5.382 4.860
Zn 1.514 -2.477 -1.280
Zn -2.154 -1.947 1.279
La -0.382 -2.282 3.965
La 1.744 -5.578 -0.384
```

***

Entry 2:
The following is a DFT calculation (PBE-GGA) of crystalline LaYErTl at its relaxed geometry. Values from VASP.

Properties
* energy: -4.66 eV/atom
* energy of formation: -7.8 kJ/mol of atoms
* total magnetic moment: 1.2 μB/cell

Cell and atoms, written as Quantum ESPRESSO input:
```
&SYSTEM
  ibrav = 0, nat = 4, ntyp = 4
/
ATOMIC_SPECIES
Er 167.26 Er.upf
Y 88.91 Y.upf
La 138.91 La.upf
Tl 204.38 Tl.upf
CELL_PARAMETERS angstrom
-2.556 4.687 1.565
-2.372 0.331 5.021
2.257 3.218 3.936
ATOMIC_POSITIONS angstrom
Er 0.000 0.000 0.000
Y -2.003 6.177 7.892
La -0.668 2.059 2.631
Tl -1.335 4.118 5.261
```

***

Entry 3:
The following is a DFT calculation (PBE-GGA) of crystalline As2RuSe at its relaxed geometry. Values from VASP.

Properties
* energy relative to the elements, uncorrected: 0.71 eV/f.u.
* energy: -5.34 eV/atom
* total magnetic moment: 0.0 μB/cell

Cell and atoms, written as Quantum ESPRESSO input:
```
&SYSTEM
  ibrav = 0, nat = 8, ntyp = 3
/
ATOMIC_SPECIES
Ru 101.07 Ru.upf
Se 78.96 Se.upf
As 74.92 As.upf
CELL_PARAMETERS angstrom
-0.954 4.888 -3.364
-3.357 -3.254 -3.776
-6.509 1.956 -0.681
ATOMIC_POSITIONS angstrom
Ru -4.809 3.830 -3.808
Ru 0.000 0.000 0.000
Se -2.155 0.817 -3.570
Se -6.011 -0.241 -4.014
As -3.798 -1.174 -2.786
As -6.334 2.239 -3.003
As -2.690 3.377 -2.910
As -8.818 2.737 -6.944
```

***

Entry 4:
The following is a DFT calculation (PBE-GGA) of crystalline HfReBiAs2 at its relaxed geometry. Values from VASP.

Properties
* energy: -6.34 eV/atom
* energy of formation: 75.2 kJ/mol of atoms
* total magnetic moment: 0.0 μB/cell

Cell and atoms, written as Quantum ESPRESSO input:
```
&SYSTEM
  ibrav = 0, nat = 5, ntyp = 4
/
ATOMIC_SPECIES
As 74.92 As.upf
Bi 208.98 Bi.upf
Hf 178.49 Hf.upf
Re 186.21 Re.upf
CELL_PARAMETERS angstrom
4.675 0.000 0.000
0.000 5.883 0.000
0.000 0.000 4.675
ATOMIC_POSITIONS angstrom
As 0.000 0.000 2.337
As 2.337 0.000 0.000
Bi 0.000 2.942 0.000
Hf 2.337 2.942 2.337
Re 0.000 0.000 0.000
```

***

Entry 5:
The following is a DFT calculation (PBE-GGA) of crystalline ZrVIrRh2 at its relaxed geometry. Values from VASP.

Properties
* energy: -6.90 eV/atom
* energy of formation: 129.7 kJ/mol of atoms
* total magnetic moment: 0.1 μB/cell

Cell and atoms, written as Quantum ESPRESSO input:
```
&SYSTEM
  ibrav = 0, nat = 5, ntyp = 4
/
ATOMIC_SPECIES
Zr 91.22 Zr.upf
V 50.94 V.upf
Rh 102.91 Rh.upf
Ir 192.22 Ir.upf
CELL_PARAMETERS angstrom
-1.350 2.189 3.942
0.825 -4.061 2.538
4.437 1.375 0.757
ATOMIC_POSITIONS angstrom
Zr 0.000 0.000 0.000
V 1.956 -0.249 3.618
Rh -0.675 1.095 1.971
Rh 2.219 0.687 0.378
Ir 0.413 -2.030 1.269
```

***

Entry 6:
The following is a DFT calculation (PBE-GGA) of crystalline UNiI6 at its relaxed geometry. Values from VASP.

Properties
* energy relative to the elements, uncorrected: -3.88 eV/f.u.
* energy: -3.78 eV/atom
* total magnetic moment: 2.4 μB/cell

Cell and atoms, written as Quantum ESPRESSO input:
```
&SYSTEM
  ibrav = 0, nat = 8, ntyp = 3
/
ATOMIC_SPECIES
I 126.90 I.upf
U 238.03 U.upf
Ni 58.69 Ni.upf
CELL_PARAMETERS angstrom
-6.753 -1.204 -2.949
3.052 4.993 -5.185
2.587 -7.322 0.907
ATOMIC_POSITIONS angstrom
I -0.786 -0.964 -6.483
I -3.433 -1.508 -3.309
I 2.319 -2.025 -3.917
I -0.920 -4.516 -4.726
I -0.194 0.983 -2.500
I -0.328 -2.568 -0.744
U -0.557 -1.766 -3.613
Ni 0.000 0.000 0.000
```

***

Entry 7:
The following is a DFT calculation (PBE-GGA) of crystalline TiCo at its relaxed geometry. Values from VASP.

Properties
* energy: -7.07 eV/atom
* energy of formation: 41.3 kJ/mol of atoms
* total magnetic moment: 0.0 μB/cell

Cell and atoms, written as Quantum ESPRESSO input:
```
&SYSTEM
  ibrav = 0, nat = 16, ntyp = 2
/
ATOMIC_SPECIES
Ti 47.87 Ti.upf
Co 58.93 Co.upf
CELL_PARAMETERS angstrom
10.563 0.000 0.000
0.000 10.563 0.000
0.000 0.000 2.849
ATOMIC_POSITIONS angstrom
Ti 3.513 0.524 1.424
Ti 8.794 5.806 0.000
Ti 1.769 4.758 0.000
Ti 0.524 7.051 1.424
Ti 7.051 10.039 1.424
Ti 5.806 1.769 0.000
Ti 4.758 8.794 0.000
Ti 10.039 3.513 1.424
Co 7.646 1.740 1.424
Co 2.365 7.021 0.000
Co 3.542 2.365 0.000
Co 7.021 8.199 0.000
Co 1.740 2.917 1.424
Co 2.917 8.824 1.424
Co 8.824 7.646 1.424
Co 8.199 3.542 0.000
```

***

Entry 8:
The following is a DFT calculation (PBE-GGA) of crystalline HoPu2Rh at its relaxed geometry. Values from VASP.

Properties
* polymorph energy (0 for the lowest one): 0.249 eV per atom
* energy: -10.03 eV/atom
* energy of formation: 11.2 kJ/mol of atoms
* total magnetic moment: 11.4 μB/cell

Cell and atoms, written as Quantum ESPRESSO input:
```
&SYSTEM
  ibrav = 0, nat = 4, ntyp = 3
/
ATOMIC_SPECIES
Rh 102.91 Rh.upf
Pu 244.00 Pu.upf
Ho 164.93 Ho.upf
CELL_PARAMETERS angstrom
3.485 0.000 0.000
1.743 3.018 0.000
1.743 1.006 10.133
ATOMIC_POSITIONS angstrom
Rh 3.485 2.012 5.066
Pu 1.743 1.006 7.005
Pu 5.228 3.018 3.128
Ho 0.000 0.000 0.000
```

***

Entry 9:
The following is a DFT calculation (PBE-GGA) of crystalline Pm3Hg4Pb2 at its relaxed geometry. Values from VASP.

Properties
* energy: -2.95 eV/atom
* energy of formation: -39.7 kJ/mol of atoms
* total magnetic moment: 0.0 μB/cell

Cell and atoms, written as Quantum ESPRESSO input:
```
&SYSTEM
  ibrav = 0, nat = 9, ntyp = 3
/
ATOMIC_SPECIES
Pm 145.00 Pm.upf
Hg 200.59 Hg.upf
Pb 207.20 Pb.upf
CELL_PARAMETERS angstrom
4.962 0.000 0.000
-2.481 5.806 -0.536
0.000 -3.170 8.896
ATOMIC_POSITIONS angstrom
Pm 2.481 -0.113 5.738
Pm 0.000 2.750 2.621
Pm 0.000 0.000 0.000
Hg 2.481 2.210 -0.032
Hg 0.000 0.426 8.392
Hg 0.000 -1.091 3.065
Hg 2.481 3.727 5.295
Pb 2.481 0.556 2.489
Pb 0.000 2.080 5.870
```

***

Entry 10:
The following is a DFT calculation (PBE-GGA) of crystalline LaNdMg at its relaxed geometry. Values from VASP.

Properties
* polymorph energy (0 for the lowest one): 0.406 eV per atom
* energy: -3.41 eV/atom
* energy of formation: 33.9 kJ/mol of atoms
* total magnetic moment: 0.5 μB/cell

Cell and atoms, written as Quantum ESPRESSO input:
```
&SYSTEM
  ibrav = 0, nat = 3, ntyp = 3
/
ATOMIC_SPECIES
Nd 144.24 Nd.upf
Mg 24.30 Mg.upf
La 138.91 La.upf
CELL_PARAMETERS angstrom
-1.492 -5.106 -0.848
5.112 0.971 1.396
-1.966 2.538 4.305
ATOMIC_POSITIONS angstrom
Nd 1.761 -1.550 4.500
Mg -0.838 -0.362 2.803
La 0.181 -3.310 1.655
```

***

Entry 11:
The following is a DFT calculation (PBE-GGA) of crystalline Dy2ErPt at its relaxed geometry. Values from VASP.

Properties
* polymorph energy (0 for the lowest one): 0.438 eV per atom
* energy: -5.24 eV/atom
* energy of formation: -27.5 kJ/mol of atoms
* total magnetic moment: 0.0 μB/cell

Cell and atoms, written as Quantum ESPRESSO input:
```
&SYSTEM
  ibrav = 0, nat = 4, ntyp = 3
/
ATOMIC_SPECIES
Dy 162.50 Dy.upf
Er 167.26 Er.upf
Pt 195.08 Pt.upf
CELL_PARAMETERS angstrom
3.681 0.000 0.000
1.841 3.188 0.000
1.841 1.063 10.503
ATOMIC_POSITIONS angstrom
Dy 1.841 1.063 7.066
Dy 5.522 3.188 3.438
Er 0.000 0.000 0.000
Pt 3.681 2.125 5.252
```

***

Entry 12:
The following is a DFT calculation (PBE-GGA) of crystalline Na2PO4 at its relaxed geometry. Values from VASP.

Properties
* polymorph energy (0 for the lowest one): 0.000 eV per atom
* energy relative to the elements, uncorrected: -13.14 eV/f.u.
* energy: -5.86 eV/atom
* total magnetic moment: 4.2 μB/cell

Cell and atoms, written as Quantum ESPRESSO input:
```
&SYSTEM
  ibrav = 0, nat = 28, ntyp = 3
/
ATOMIC_SPECIES
Na 22.99 Na.upf
O 16.00 O.upf
P 30.97 P.upf
CELL_PARAMETERS angstrom
9.143 0.000 0.000
0.000 7.592 -0.040
0.000 0.054 7.592
ATOMIC_POSITIONS angstrom
Na 0.000 1.650 1.630
Na 0.000 1.668 5.958
Na 4.572 2.173 2.147
Na 0.000 5.996 5.923
Na 0.000 5.978 1.594
Na 4.572 2.209 5.410
Na 4.572 5.473 5.406
Na 4.572 5.437 2.142
O 3.181 3.842 6.308
O 7.753 5.115 7.565
O 5.962 3.842 6.308
O 1.390 2.532 -0.012
O 3.181 6.355 3.764
O 3.181 1.292 3.788
O 5.962 1.292 3.789
O 5.962 3.804 1.245
O 7.753 7.627 5.021
O 7.753 2.532 -0.013
O 7.753 0.019 2.532
O 5.962 6.355 3.763
O 1.390 5.115 7.564
O 1.390 0.019 2.532
O 1.390 7.628 5.021
O 3.181 3.804 1.245
P 6.858 0.027 3.796
P 2.286 3.796 -0.020
P 2.286 0.027 3.796
P 6.858 3.796 -0.020
```

***

Entry 13:
The following is a DFT calculation (PBE-GGA) of crystalline La2TbDy2 at its relaxed geometry. Values from VASP.

Properties
* polymorph energy (0 for the lowest one): 0.000 eV per atom
* energy: -4.61 eV/atom
* energy of formation: 12.5 kJ/mol of atoms
* total magnetic moment: 0.0 μB/cell

Cell and atoms, written as Quantum ESPRESSO input:
```
&SYSTEM
  ibrav = 0, nat = 10, ntyp = 3
/
ATOMIC_SPECIES
Dy 162.50 Dy.upf
Tb 158.93 Tb.upf
La 138.91 La.upf
CELL_PARAMETERS angstrom
5.743 0.000 0.000
0.000 3.561 0.000
-2.871 -1.781 16.503
ATOMIC_POSITIONS angstrom
Dy 0.000 -0.890 8.964
Dy 2.871 2.671 4.369
Dy 2.871 2.671 7.539
Dy 0.000 -0.890 12.134
Tb 2.871 0.890 10.665
Tb 0.000 0.890 5.838
La 2.871 -0.890 14.422
La 0.000 0.890 15.121
La 2.871 0.890 1.383
La 0.000 2.671 2.081
```

***

Entry 14:
The following is a DFT calculation (PBE-GGA) of crystalline LiNiPb at its relaxed geometry. Values from VASP.

Properties
* energy: -3.79 eV/atom
* energy of formation: 1.1 kJ/mol of atoms
* total magnetic moment: 0.0 μB/cell

Cell and atoms, written as Quantum ESPRESSO input:
```
&SYSTEM
  ibrav = 0, nat = 3, ntyp = 3
/
ATOMIC_SPECIES
Ni 58.69 Ni.upf
Pb 207.20 Pb.upf
Li 6.94 Li.upf
CELL_PARAMETERS angstrom
-0.310 3.372 2.683
-2.534 3.347 -1.021
-3.659 0.687 2.192
ATOMIC_POSITIONS angstrom
Ni -4.877 5.555 2.891
Pb 0.000 0.000 0.000
Li -3.251 3.703 1.927
```

***

Entry 15:
The following is a DFT calculation (PBE-GGA) of crystalline Mg3ScNi4 at its relaxed geometry. Values from VASP.

Properties
* energy: -4.53 eV/atom
* energy of formation: -23.7 kJ/mol of atoms
* total magnetic moment: 0.0 μB/cell

Cell and atoms, written as Quantum ESPRESSO input:
```
&SYSTEM
  ibrav = 0, nat = 8, ntyp = 3
/
ATOMIC_SPECIES
Ni 58.69 Ni.upf
Mg 24.30 Mg.upf
Sc 44.96 Sc.upf
CELL_PARAMETERS angstrom
3.094 0.000 0.000
0.000 3.094 0.000
0.000 0.000 12.240
ATOMIC_POSITIONS angstrom
Ni 0.000 0.000 4.603
Ni 0.000 0.000 7.637
Ni 0.000 0.000 10.692
Ni 0.000 0.000 1.548
Mg 1.547 1.547 6.120
Mg 1.547 1.547 9.131
Mg 1.547 1.547 3.109
Sc 1.547 1.547 0.000
```

***

Entry 16:
The following is a DFT calculation (PBE-GGA) of crystalline Re2Pt2Rh at its relaxed geometry. Values from VASP.

Properties
* polymorph energy (0 for the lowest one): 0.144 eV per atom
* energy: -8.40 eV/atom
* energy of formation: 45.0 kJ/mol of atoms
* total magnetic moment: 0.0 μB/cell

Cell and atoms, written as Quantum ESPRESSO input:
```
&SYSTEM
  ibrav = 0, nat = 5, ntyp = 3
/
ATOMIC_SPECIES
Pt 195.08 Pt.upf
Re 186.21 Re.upf
Rh 102.91 Rh.upf
CELL_PARAMETERS angstrom
-2.706 -1.486 -1.831
1.791 -3.108 -0.125
-3.231 -4.120 4.600
ATOMIC_POSITIONS angstrom
Pt -0.999 -2.653 0.110
Pt -3.148 -6.061 2.533
Re -0.949 -4.762 1.748
Re -3.198 -3.951 0.895
Rh 0.000 0.000 0.000
```

***

Entry 17:
The following is a DFT calculation (PBE-GGA) of crystalline HfAl2Ir3 at its relaxed geometry. Values from VASP.

Properties
* energy: -8.30 eV/atom
* energy of formation: -93.0 kJ/mol of atoms
* total magnetic moment: 0.0 μB/cell

Cell and atoms, written as Quantum ESPRESSO input:
```
&SYSTEM
  ibrav = 0, nat = 6, ntyp = 3
/
ATOMIC_SPECIES
Ir 192.22 Ir.upf
Al 26.98 Al.upf
Hf 178.49 Hf.upf
CELL_PARAMETERS angstrom
-2.217 1.357 1.475
-1.996 -1.293 -1.810
-0.618 -7.830 6.273
ATOMIC_POSITIONS angstrom
Ir -0.191 -2.423 1.941
Ir -0.426 -5.407 4.332
Ir 0.000 0.000 0.000
Al -2.628 -6.577 5.127
Al -2.203 -1.190 0.811
Hf -2.415 -3.883 2.969
```

***

Entry 18:
The following is a DFT calculation (PBE-GGA) of crystalline Ba2ZnGePd6 at its relaxed geometry. Values from VASP.

Properties
* energy: -4.64 eV/atom
* energy of formation: -52.9 kJ/mol of atoms
* total magnetic moment: 0.0 μB/cell

Cell and atoms, written as Quantum ESPRESSO input:
```
&SYSTEM
  ibrav = 0, nat = 10, ntyp = 4
/
ATOMIC_SPECIES
Pd 106.42 Pd.upf
Ge 72.64 Ge.upf
Zn 65.41 Zn.upf
Ba 137.33 Ba.upf
CELL_PARAMETERS angstrom
-2.943 5.042 -3.479
-5.970 -2.322 2.788
-3.248 5.534 2.249
ATOMIC_POSITIONS angstrom
Pd -6.324 3.095 -0.589
Pd -5.837 5.159 2.147
Pd -4.990 -0.453 1.265
Pd -8.083 4.830 0.577
Pd -4.078 3.424 0.981
Pd -7.172 8.707 0.293
Ge -4.457 1.360 -0.346
Zn 0.000 0.000 0.000
Ba -5.122 6.314 -0.807
Ba -7.040 1.940 2.365
```

***

Entry 19:
The following is a DFT calculation (PBE-GGA) of crystalline K3NaH8Pt2 at its relaxed geometry. Values from VASP.

Properties
* energy: -3.17 eV/atom
* total magnetic moment: 0.4 μB/cell

Cell and atoms, written as Quantum ESPRESSO input:
```
&SYSTEM
  ibrav = 0, nat = 14, ntyp = 4
/
ATOMIC_SPECIES
K 39.10 K.upf
Na 22.99 Na.upf
H 1.01 H.upf
Pt 195.08 Pt.upf
CELL_PARAMETERS angstrom
-1.436 5.246 -1.802
1.577 -3.999 -3.788
-7.735 -2.366 -0.723
ATOMIC_POSITIONS angstrom
K -4.921 -2.597 -3.640
K 0.000 0.000 0.000
K -2.673 1.479 -2.674
Na -3.868 -1.183 -0.361
H -5.012 -0.083 -1.999
H -7.839 -0.101 -3.156
H -2.583 -1.036 -4.314
H 0.245 -1.017 -3.157
H -4.960 0.377 -4.059
H -5.541 1.850 -2.663
H -2.053 -2.969 -3.650
H -2.634 -1.496 -2.254
Pt -6.224 0.393 -3.005
Pt -1.370 -1.511 -3.308
```